(1)
Nb3H12C4NCl9: relaxed, PBE-GGA.

a = 10.9316 Å, b = 10.9316 Å, c = 8.7258 Å
α = 90.00°, β = 90.00°, γ = 120.00°
Space group P-3m1 (No. 164)
One atom of each set of equivalent atoms:
Nb (0.0932, 0.1864, 0.1428) (multiplicity 6)
H (0.1304, 0.4830, 0.6937) (multiplicity 12)
H (0.1846, 0.5923, 0.5253) (multiplicity 6)
H (0.2786, 0.5571, 0.9208) (multiplicity 6)
C (0.1836, 0.5918, 0.6509) (multiplicity 6)
C (0.3333, 0.6667, 0.8799) (multiplicity 2)
N (0.3333, 0.6667, 0.7081) (multiplicity 2)
Cl (0.0000, 0.3164, 0.0000) (multiplicity 6)
Cl (0.1043, 0.2086, 0.6772) (multiplicity 6)
Cl (0.2015, 0.4030, 0.3050) (multiplicity 6)

Properties
Final energy   -5.20 eV per atom

***

(2)
Tm2B2O5: relaxed, PBE-GGA.

a = 3.403 Å, b = 3.403 Å, c = 6.677 Å
α = 90.00°, β = 90.00°, γ = 90.00°
Space group P4/mmm (No. 123)
One atom of each set of equivalent atoms:
Tm (0.000, 0.000, 0.000) (multiplicity 1)
Tm (0.000, 0.000, 0.500) (multiplicity 1)
B (0.500, 0.500, 0.222) (multiplicity 2)
O (0.000, 0.500, 0.236) (multiplicity 4)
O (0.500, 0.500, 0.500) (multiplicity 1)

Properties
Energy above the most stable polymorph in this dataset   0.000 eV/atom

***

(3)
Mg2Pa: relaxed, PBE-GGA.

a = 5.203 Å, b = 9.458 Å, c = 5.963 Å
α = 90.00°, β = 90.00°, γ = 90.00°
Space group Pmmn (No. 59, origin choice 2)
One atom of each set of equivalent atoms:
Mg (0.250, 0.084, 0.085) (multiplicity 4)
Mg (0.250, 0.250, 0.620) (multiplicity 2)
Mg (0.250, 0.750, 0.074) (multiplicity 2)
Pa (0.250, 0.606, 0.570) (multiplicity 4)

Properties
Final energy   -3.88 eV per atom

***

(4)
Hf3Si2Ni4Sn2: relaxed, PBE-GGA.

a = 3.965 Å, b = 6.674 Å, c = 13.188 Å
α = 90.00°, β = 90.00°, γ = 90.00°
Space group Immm (No. 71)
One atom of each set of equivalent atoms:
Hf (0.000, 0.000, 0.000) (multiplicity 2)
Hf (0.000, 0.500, 0.137) (multiplicity 4)
Si (0.000, 0.000, 0.211) (multiplicity 4)
Ni (0.000, 0.301, 0.312) (multiplicity 8)
Sn (0.000, 0.207, 0.500) (multiplicity 4)

Properties
Final energy   -7.03 eV per atom

***

In the order shown, the computed calculated volume values come out to 15.57, 8.59, 24.45, 15.86 A^3/atom.